Compound: Tb2Dy7Er3
Source: Alexandria
Functional: PBE-GGA
Structure: relaxed

Unit cell a=3.4902 b=6.2812 c=17.7320 alpha=75.53 beta=90.00 gamma=90.00
Closest atoms and distances in Å follow each position.
Positions (direct):
1 Dy 0.5000 0.2424 0.5019  2 Dy 3.06-3.22, 2 Tb 3.37
2 Dy 0.0000 0.0000 0.0000  8 Dy 3.49-3.55, 4 Er 3.59
3 Dy 0.5000 0.7576 0.4981  2 Dy 3.06-3.22, 2 Tb 3.37
4 Dy 0.5000 0.9421 0.8317  1 Tb 3.44, 8 Dy 3.49-3.60, 3 Er 3.53-3.63
5 Dy 0.0000 0.5605 0.1653  2 Tb 3.45, 7 Dy 3.49-3.60, 3 Er 3.51-3.67
6 Dy 0.0000 0.4395 0.8347  2 Tb 3.45, 7 Dy 3.49-3.60, 3 Er 3.51-3.67
7 Dy 0.5000 0.0579 0.1683  1 Tb 3.44, 8 Dy 3.49-3.60, 3 Er 3.53-3.63
8 Tb 0.5000 0.6123 0.3275  5 Dy 3.37-3.45, 2 Tb 3.49, 4 Er 3.57-3.64
9 Tb 0.5000 0.3877 0.6725  5 Dy 3.37-3.45, 2 Tb 3.49, 4 Er 3.57-3.64
10 Er 0.0000 0.8915 0.6578  2 Er 3.49, 7 Dy 3.54-3.67, 4 Tb 3.57-3.64
11 Er 0.5000 0.5000 0.0000  2 Er 3.49, 10 Dy 3.51-3.59
12 Er 0.0000 0.1085 0.3422  2 Er 3.49, 7 Dy 3.54-3.67, 4 Tb 3.57-3.64

Values from the calculation:
* energy above the lowest structure with this stoichiometry: 0.0 meV/atom
* DOS(E_F): 17.2 states/eV/cell
* calculated formation energy: 0.076 eV/atom
* space-group type: P2/m, No. 10

=====

Compound: Ba3Zn2Cd2Au4
Source: Alexandria
Functional: PBE-GGA
Structure: relaxed

Unit cell a=4.7419 b=4.7419 c=16.5573 alpha=90.00 beta=90.00 gamma=120.00
Closest atoms and distances in Å follow each position.
Positions (direct):
1 Au 0.6667 0.3333 0.6120  4 Cd 2.86-2.89
2 Au 0.3333 0.6667 0.8675  3 Zn 2.74
3 Au 0.3333 0.6667 0.3880  4 Cd 2.86-2.89
4 Au 0.6667 0.3333 0.1325  3 Zn 2.74
5 Zn 0.3333 0.6667 0.1343  3 Au 2.74
6 Zn 0.6667 0.3333 0.8657  3 Au 2.74
7 Ba 0.0000 0.0000 0.7279  6 Au 3.34-3.58, 3 Zn 3.56
8 Ba 0.0000 0.0000 0.0000  6 Au 3.51, 6 Zn 3.53
9 Ba 0.0000 0.0000 0.2721  6 Au 3.34-3.58, 3 Zn 3.56
10 Cd 0.3333 0.6667 0.5623  4 Au 2.86-2.89
11 Cd 0.6667 0.3333 0.4377  4 Au 2.86-2.89

Values from the calculation:
* DOS(E_F): 8.5 states/eV/cell
* calculated formation energy: -0.479 eV/atom
* space-group type: P-3m1, No. 164

=====

Compound: Rb2IrF5
Source: Alexandria
Functional: PBE-GGA
Structure: relaxed

Unit cell a=6.2337 b=6.2338 c=6.1558 alpha=120.43 beta=120.43 gamma=89.99
Closest atoms and distances in Å follow each position.
Positions (direct):
1 F 0.7816 0.7816 0.0110  1 Ir 1.97
2 F 0.2294 0.7816 0.0110  1 Ir 1.97
3 F 0.7533 0.7533 0.5066  1 Ir 2.16
4 F 0.7816 0.2294 0.0110  1 Ir 1.97
5 F 0.2294 0.2294 0.0110  1 Ir 1.97
6 Rb 0.2482 0.7483 0.4965  10 F 3.04-3.13
7 Rb 0.7483 0.2482 0.4965  10 F 3.04-3.13
8 Ir 0.0052 0.0052 0.0105  5 F 1.97-2.16

Values from the calculation:
* DOS(E_F): 9.3 states/eV/cell
* raw formation energy: -45.3 kcal/mol of atoms
* space-group type: I4mm, No. 107

=====

Compound: Co2TcMo
Source: Alexandria
Functional: PBE-GGA
Structure: relaxed

Unit cell a=6.5334 b=6.5334 c=5.2857 alpha=51.83 beta=51.83 gamma=90.00
Closest atoms and distances in Å follow each position.
Positions (direct):
1 Tc 0.0000 0.0000 0.0000  4 Co 2.40, 2 Mo 2.57
2 Tc 0.7500 0.2500 0.5000  4 Co 2.40, 2 Mo 2.57
3 Mo 0.5000 0.5000 0.0000  4 Co 2.40, 2 Tc 2.57
4 Mo 0.2500 0.7500 0.5000  4 Co 2.40, 2 Tc 2.57
5 Co 0.6248 0.1250 0.2500  2 Mo 2.40, 2 Tc 2.40, 2 Co 2.57
6 Co 0.1252 0.6250 0.2500  2 Mo 2.40, 2 Tc 2.40, 2 Co 2.57
7 Co 0.8750 0.8748 0.7500  2 Mo 2.40, 2 Tc 2.40, 2 Co 2.57
8 Co 0.3750 0.3752 0.7500  2 Mo 2.40, 2 Tc 2.40, 2 Co 2.57

Values from the calculation:
* energy above the lowest structure with this stoichiometry: 618.9 meV/atom
* DOS(E_F): 9.4 states/eV/cell
* calculated formation energy: 0.586 eV/atom
* space-group type: I-42d, No. 122

=====

Compound: SrReN3
Source: Alexandria
Functional: PBE-GGA
Structure: relaxed

Unit cell a=5.5146 b=5.0883 c=6.1000 alpha=87.72 beta=79.61 gamma=90.74
Closest atoms and distances in Å follow each position.
Positions (direct):
1 N 0.8662 0.7381 0.5643  2 Re 1.88-1.96
2 N 0.2398 0.3125 0.5631  1 N 1.27
3 N 0.0933 0.4901 0.0928  1 Re 1.83
4 N 0.4195 0.2090 0.6348  1 N 1.27
5 N 0.5797 0.9702 0.0231  1 N 1.25
6 N 0.6247 0.0142 0.2118  1 N 1.25
7 Re 0.7280 0.0499 0.4717  3 N 1.79-2.01
8 Re 0.0213 0.4440 0.3962  3 N 1.83-1.96
9 Sr 0.0949 0.9837 0.9451  7 N 2.58-2.81
10 Sr 0.5995 0.4780 0.9300  6 N 2.59-2.88

Values from the calculation:
* DOS(E_F): 0.0 states/eV/cell
* raw formation energy: -6.7 kcal/mol of atoms
* space-group type: P1, No. 1

=====

Compound: Ba2TaOs
Source: Alexandria
Functional: PBE-GGA
Structure: relaxed

Unit cell a=3.1802 b=5.4786 c=5.9856 alpha=90.00 beta=90.00 gamma=90.00
Closest atoms and distances in Å follow each position.
Positions (direct):
1 Ta 0.5000 0.5000 0.7500  2 Os 2.99, 2 Ta 3.18
2 Ba 0.0000 0.0000 0.4975  4 Ba 2.96-3.18
3 Ba 0.0000 0.0000 0.0025  4 Ba 2.96-3.18
4 Os 0.5000 0.5000 0.2500  2 Ta 2.99, 2 Os 3.18

Values from the calculation:
* energy above the lowest structure with this stoichiometry: 1079.3 meV/atom
* DOS(E_F): 4.0 states/eV/cell
* calculated formation energy: 1.385 eV/atom
* space-group type: Pmmm, No. 47

=====

Compound: CaPSN2
Source: Alexandria
Functional: PBE-GGA
Structure: relaxed

Unit cell a=3.6363 b=3.6363 c=4.9123 alpha=90.00 beta=90.00 gamma=90.00
Closest atoms and distances in Å follow each position.
Positions (direct):
1 Ca 0.5000 0.5000 0.5000  4 S 2.57
2 N 0.5000 0.0000 0.0000  2 P 1.82
3 N 0.0000 0.5000 0.0000  2 P 1.82
4 S 0.0000 0.0000 0.5000  2 P 2.46, 4 Ca 2.57
5 P 0.0000 0.0000 0.0000  4 N 1.82

Values from the calculation:
* energy above the lowest structure with this stoichiometry: 0.0 meV/atom
* DOS(E_F): 1.6 states/eV/cell
* raw formation energy: 2.0 kcal/mol of atoms
* space-group type: P4/mmm, No. 123

=====

Compound: Cs2NaCd3Sb4
Source: Alexandria
Functional: PBE-GGA
Structure: relaxed

Unit cell a=5.1827 b=5.1827 c=12.2987 alpha=90.00 beta=90.00 gamma=90.00
Closest atoms and distances in Å follow each position.
Positions (direct):
1 Na 0.5000 0.5000 0.5000  4 Sb 3.06
2 Cd 0.0000 0.5000 0.1341  5 Sb 2.86-3.07
3 Cd 0.0000 0.0000 0.5000  4 Sb 3.06
4 Cd 0.5000 0.0000 0.8659  5 Sb 2.86-3.07
5 Cs 0.5000 0.0000 0.2530  8 Sb 3.92-4.05, 6 Cd 3.95-3.99, 2 Na 3.99
6 Cs 0.0000 0.5000 0.7470  8 Sb 3.92-4.05, 6 Cd 3.95-3.99, 2 Na 3.99
7 Sb 0.5000 0.0000 0.6330  3 Cd 2.86-3.06, 2 Na 3.06
8 Sb 0.0000 0.5000 0.3670  3 Cd 2.86-3.06, 2 Na 3.06
9 Sb 0.5000 0.5000 0.0000  4 Cd 3.07
10 Sb 0.0000 0.0000 0.0000  4 Cd 3.07

Values from the calculation:
* DOS(E_F): 3.0 states/eV/cell
* raw formation energy: -6.9 kcal/mol of atoms
* space-group type: P-4m2, No. 115

=====

Calculated volume, 31.4 29.3 20.9 13.7 16.8 26.1 13.0 33.0 A^3/atom (same order as the records).